Record 1
VASP calculation (PBE-GGA) on crystalline MgMnSb2 at its relaxed geometry.

Computed properties:
As for the space group: C2/m. Its density of states at the Fermi level is 0.455 states/eV/atom. The value obtained for the uncorrected energy is -4.643 eV/atom.

Cell: 7.7759 5.3331 3.1747 Å, 85.93 71.88 129.53°
Sites, in units of the cell vectors:
Sb 0.0000 0.0000 0.0000
Sb 0.5000 0.0000 0.5000
Mg 0.0000 0.5000 0.5000
Mn 0.5000 0.5000 0.0000

=====

Record 2
VASP calculation (PBE-GGA) on crystalline MgMnSb2 at its relaxed geometry.

Computed properties:
As for the space group: Amm2. Its density of states at the Fermi level is 0.515 states/eV/atom. The value obtained for the uncorrected energy is -4.694 eV/atom.

Cell: 5.8717 5.8717 4.9861 Å, 89.95 89.95 31.42°
Sites, in units of the cell vectors:
Sb 0.7322 0.7322 0.6254
Mn 0.2836 0.2836 0.1254
Sb 0.0170 0.0170 0.1246
Mg 0.4672 0.4672 0.6246

=====

Record 3
VASP calculation (PBE-GGA) on crystalline MgMnSb at its relaxed geometry.

Computed properties:
As for the space group: P4/nmm. Its density of states at the Fermi level is 0.709 states/eV/atom. The value obtained for the uncorrected energy is -5.113 eV/atom.

Cell: 4.2766 4.2766 6.6637 Å, 90.00 90.00 90.00°
Sites, in units of the cell vectors:
Mn 0.5000 0.5000 0.5000
Mg 0.5000 0.0000 0.1987
Mn 0.0000 0.0000 0.5000
Sb 0.5000 0.0000 0.7612
Mg 0.0000 0.5000 0.8013
Sb 0.0000 0.5000 0.2388

=====

- Among the records above, which one has the lowest uncorrected energy?
  MgMnSb

=====

- The highest uncorrected energy belongs to which entry?
  number 1